28
Lattice="-4.0375 5.0598 5.4552 4.0375 -5.0598 5.4552 4.0375 5.0598 -5.4552" Properties=species:S:1:pos:R:3 comment="GGA-PBE TbIn2F11, optimized geometry" sg="Ibam, No. 72" raw_formation_energy_ev_per_atom=-2.51 pbc="T T T"
Tb 0.0000 0.0000 2.7276
Tb 0.0000 0.0000 8.1829
In 5.3622 1.9430 0.0000
In 1.3247 3.1167 0.0000
In 2.7128 1.9430 5.4552
In -1.3247 3.1167 5.4552
F 4.0375 0.0000 0.0000
F 4.8797 -3.3044 3.9168
F 1.7377 -0.7796 1.4456
F 4.8797 3.3044 -1.5385
F 3.1867 1.9484 0.0000
F 6.3374 0.7796 1.4456
F 2.2999 4.2802 -1.4456
F 3.1867 -1.9484 5.4552
F 0.8422 1.7553 1.5385
F 1.7377 0.7796 4.0097
F 4.8797 3.3044 1.5385
F 0.0000 5.0598 0.0000
F -0.8422 1.7553 3.9168
F 2.2999 4.2802 1.4456
F 3.1953 3.3044 3.9168
F 0.8508 7.0081 0.0000
F 1.7377 0.7796 6.9008
F -2.2999 4.2802 4.0097
F 0.8508 3.1114 5.4552
F -0.8422 1.7553 6.9937
F 2.2999 5.8394 4.0097
F -0.8422 8.3642 1.5385